# 1
LaPmTc (GGA-PBE, optimized geometry); distance to the lowest polymorph of the same formula = 34 meV/atom; DOS(E_F) = 3.60 states/eV/f.u.; space-group type = P2_1/m; energy relative to the elements = 0.12 eV per atom; electronic total energy = -6.564 eV/atom
1.0
-4.568 2.257 1.168
-1.569 -0.079 -5.986
-2.035 -4.824 1.364
La Pm Tc
2 2 2
Cartesian
-1.725 0.283 -1.443 La
-6.448 -2.929 -2.011 La
-3.425 -1.860 -3.950 Pm
-4.748 -0.786 0.496 Pm
-2.999 -2.414 -1.213 Tc
-5.174 -0.232 -2.241 Tc

# 2
LaPm3Tc (GGA-PBE, optimized geometry); distance to the lowest polymorph of the same formula = 152 meV/atom; DOS(E_F) = 8.38 states/eV/f.u.; space-group type = Pm-3m; energy relative to the elements = 0.17 eV per atom; electronic total energy = -5.738 eV/atom
1.0
-1.226 3.565 -4.045
-5.390 -0.681 1.034
0.168 4.172 3.626
Pm Tc La
3 1 1
Cartesian
-2.695 -0.340 0.517 Pm
0.084 2.086 1.813 Pm
-0.613 1.783 -2.023 Pm
0.000 0.000 0.000 Tc
-3.224 3.528 0.307 La

# 3
La2PmTc (GGA-PBE, optimized geometry); distance to the lowest polymorph of the same formula = 586 meV/atom; DOS(E_F) = 6.02 states/eV/f.u.; space-group type = R-3m; energy relative to the elements = 0.57 eV per atom; electronic total energy = -5.677 eV/atom
1.0
-2.006 2.288 -1.695
-2.965 -1.054 -1.494
-7.255 2.592 8.509
La Tc Pm
2 1 1
Cartesian
-6.205 1.715 -1.078 La
-6.021 2.111 6.398 La
0.000 0.000 0.000 Tc
-6.113 1.913 2.660 Pm

# 4
La2PmTe5 (GGA-PBE, optimized geometry); formation energy (no corrections) = -0.77 eV/atom; DOS(E_F) = 7.28 states/eV/f.u.; space-group type = P4/mmm; electronic total energy = -4.557 eV/atom
1.0
5.452 0.000 0.000
0.000 7.575 0.000
0.000 0.000 7.575
Pm Te La
1 5 2
Cartesian
0.000 0.000 0.000 Pm
2.726 0.000 0.000 Te
0.000 2.139 2.139 Te
0.000 5.436 2.139 Te
0.000 2.139 5.436 Te
0.000 5.436 5.436 Te
2.726 3.787 0.000 La
2.726 0.000 3.787 La

# 5
La3Pm5Te8 (GGA-PBE, optimized geometry); formation energy (no corrections) = -1.48 eV/atom; DOS(E_F) = 12.94 states/eV/f.u.; space-group type = R-3m; electronic total energy = -5.456 eV/atom
1.0
-2.101 8.789 0.043
-2.614 3.983 7.678
5.418 5.921 4.090
Pm Te La
5 8 3
Cartesian
-1.050 4.394 0.021 Pm
-1.307 1.992 3.839 Pm
-2.357 6.386 3.861 Pm
0.000 0.000 0.000 Pm
0.351 9.346 5.906 Pm
1.870 12.014 5.039 Te
2.910 7.662 5.018 Te
-2.207 11.031 6.794 Te
0.578 14.032 8.870 Te
-0.913 9.058 2.991 Te
1.616 9.634 8.820 Te
-1.167 6.679 6.773 Te
0.125 4.661 2.942 Te
2.709 2.960 2.045 La
1.658 7.355 2.067 La
1.402 4.952 5.884 La

# 6
La2PmTe4 (GGA-PBE, optimized geometry); formation energy (no corrections) = -1.49 eV/atom; distance to the lowest polymorph of the same formula = 44 meV/atom; DOS(E_F) = 2.66 states/eV/f.u.; space-group type = Cmcm; electronic total energy = -5.371 eV/atom
1.0
-0.378 3.135 -3.042
-7.360 -2.065 1.946
-0.083 10.717 11.053
Te La Pm
8 4 2
Cartesian
-7.434 9.132 7.174 Te
-0.386 2.655 2.784 Te
-3.375 6.480 7.096 Te
-4.445 5.308 2.862 Te
-0.189 1.567 -1.521 Te
-4.425 2.629 0.099 Te
-3.396 9.158 9.859 Te
-0.231 6.926 4.006 Te
-5.797 7.327 5.110 La
-1.994 0.636 0.903 La
-2.023 4.461 4.848 La
-5.827 11.151 9.054 La
-5.642 2.309 3.080 Pm
-2.179 9.478 6.878 Pm

# 7
La2Pm2Te5 (GGA-PBE, optimized geometry); formation energy (no corrections) = -1.31 eV/atom; DOS(E_F) = 4.50 states/eV/f.u.; space-group type = Ima2; electronic total energy = -5.205 eV/atom
1.0
8.568 0.000 0.000
0.000 8.246 0.000
-4.284 -4.123 9.519
Te Pm La
10 4 4
Cartesian
3.218 3.207 2.853 Te
1.066 -0.915 6.666 Te
6.242 6.139 0.827 Te
-2.326 -2.106 8.692 Te
1.066 -0.915 2.853 Te
-0.682 3.728 4.760 Te
6.611 2.017 0.827 Te
3.218 3.207 6.666 Te
4.966 -0.395 4.760 Te
-1.958 2.017 8.692 Te
0.000 8.092 0.000 Pm
5.020 4.774 4.760 Pm
-0.736 0.651 4.760 Pm
4.284 3.969 0.000 Pm
3.826 0.233 1.728 La
0.458 4.356 1.728 La
0.458 4.356 7.791 La
3.826 0.233 7.791 La

# 8
LaPm2Te3 (GGA-PBE, optimized geometry); formation energy (no corrections) = -1.47 eV/atom; DOS(E_F) = 3.60 states/eV/f.u.; space-group type = Immm; electronic total energy = -5.445 eV/atom
1.0
4.518 0.000 0.000
0.000 6.365 0.000
-2.259 -3.183 6.747
Pm Te La
2 3 1
Cartesian
-1.130 -1.591 5.606 Pm
3.389 4.774 1.141 Pm
1.130 -1.591 3.373 Te
3.389 1.591 1.072 Te
-1.130 1.591 5.674 Te
1.130 1.591 3.373 La

# 9
La2PmTe4 (GGA-PBE, optimized geometry); formation energy (no corrections) = -1.53 eV/atom; distance to the lowest polymorph of the same formula = 0 meV/atom; DOS(E_F) = 2.51 states/eV/f.u.; space-group type = Imma; electronic total energy = -5.415 eV/atom
1.0
-7.524 -4.869 1.283
-1.551 -3.921 7.969
-6.596 3.164 5.269
La Pm Te
4 2 8
Cartesian
-3.298 1.582 2.634 La
-7.060 -0.853 3.276 La
0.000 0.000 0.000 La
-4.074 -0.379 6.619 La
-0.775 -1.960 3.984 Pm
-4.537 -4.395 4.626 Pm
-7.240 0.170 6.295 Te
-8.009 -1.787 10.134 Te
-10.956 -2.235 6.929 Te
-7.661 -3.839 4.386 Te
-4.714 -3.391 7.591 Te
-8.431 -5.796 8.225 Te
-11.782 -4.152 10.979 Te
-3.889 -1.475 3.540 Te

# 10
La2PmTe3 (GGA-PBE, optimized geometry); formation energy (no corrections) = -1.53 eV/atom; DOS(E_F) = 3.96 states/eV/f.u.; space-group type = Immm; electronic total energy = -5.537 eV/atom
1.0
4.374 0.000 -1.239
-0.672 5.930 -2.373
-0.135 -0.348 7.861
Te La Pm
3 2 1
Cartesian
2.409 3.817 0.165 Te
1.157 1.765 4.084 Te
0.000 0.000 0.000 Te
2.763 0.879 1.413 La
0.803 4.704 2.835 La
-0.336 2.965 -1.187 Pm

# 11
LaPm3Te4 (GGA-PBE, optimized geometry); formation energy (no corrections) = -1.45 eV/atom; distance to the lowest polymorph of the same formula = 0 meV/atom; DOS(E_F) = 5.41 states/eV/f.u.; space-group type = Cmmm; electronic total energy = -5.423 eV/atom
1.0
-3.914 1.864 1.024
-2.912 -2.346 -6.858
-1.256 -5.567 5.334
Pm Te La
3 4 1
Cartesian
-1.456 -1.173 -3.429 Pm
-0.628 -2.784 2.667 Pm
-4.041 -3.025 -0.250 Pm
-4.451 -2.227 -3.269 Te
-1.063 -2.018 -0.389 Te
-3.631 -3.822 2.769 Te
-3.106 -5.896 -1.136 Te
-1.957 0.932 0.512 La

# 12
La2Pm3Te8 (GGA-PBE, optimized geometry); formation energy (no corrections) = -1.34 eV/atom; DOS(E_F) = 7.43 states/eV/f.u.; space-group type = C2/m; electronic total energy = -5.130 eV/atom
1.0
-7.698 0.537 0.170
-0.192 -5.116 7.437
3.182 8.540 0.476
Te La Pm
8 2 3
Cartesian
-2.222 3.552 5.195 Te
-6.336 1.911 1.151 Te
-2.123 6.174 1.383 Te
1.628 2.050 6.933 Te
-6.404 -0.609 4.896 Te
-2.486 0.409 2.889 Te
-2.585 -2.214 6.700 Te
1.696 4.569 3.187 Te
-1.016 3.219 2.188 La
-3.692 0.741 5.895 La
-3.849 0.268 0.085 Pm
-0.050 -1.327 1.930 Pm
-0.142 -3.789 5.508 Pm

| no. | calculated volume (Å³/atom) | M_tot (μB/atom) |
| --- | --- | --- |
| 1 | 28.90 | 0.00 |
| 2 | 33.82 | 0.14 |
| 3 | 29.69 | 0.00 |
| 4 | 39.10 | 0.05 |
| 5 | 32.45 | 0.00 |
| 6 | 36.53 | 0.00 |
| 7 | 37.36 | 0.11 |
| 8 | 32.34 | 0.00 |
| 9 | 37.27 | 0.00 |
| 10 | 33.17 | 0.00 |
| 11 | 32.13 | 0.00 |
| 12 | 40.22 | 0.00 |